Model i:
! LaPr4Nd3 PBE relaxed; values from VASP
&SYSTEM
  ibrav = 0, nat = 16, ntyp = 3
/
ATOMIC_SPECIES
Pr 140.91 Pr.upf
La 138.91 La.upf
Nd 144.24 Nd.upf
CELL_PARAMETERS angstrom
7.404 0.000 0.000
0.000 7.403 0.000
0.000 0.000 10.507
ATOMIC_POSITIONS crystal
Pr 0.000 0.811 0.000
Pr 0.751 0.061 0.750
Pr 0.500 0.310 0.000
Pr 0.500 0.810 0.500
Pr 0.249 0.561 0.250
Pr 0.000 0.311 0.500
Pr 0.751 0.061 0.250
Pr 0.249 0.561 0.750
La 0.500 0.811 0.000
La 0.500 0.311 0.500
Nd 0.751 0.561 0.750
Nd 0.751 0.561 0.250
Nd 0.000 0.311 0.000
Nd 0.000 0.811 0.500
Nd 0.249 0.061 0.750
Nd 0.249 0.061 0.250
! - Spin magnetization: 0.0 μB/cell



Model ii:
! LaPr4Nd3 PBE relaxed; values from VASP
&SYSTEM
  ibrav = 0, nat = 16, ntyp = 3
/
ATOMIC_SPECIES
Pr 140.91 Pr.upf
Nd 144.24 Nd.upf
La 138.91 La.upf
CELL_PARAMETERS angstrom
6.466 0.000 0.000
0.000 7.469 0.000
0.000 0.000 12.049
ATOMIC_POSITIONS crystal
Pr 0.774 0.625 0.500
Pr 0.105 0.125 0.249
Pr 0.274 0.375 0.000
Pr 0.105 0.125 0.751
Pr 0.274 0.875 0.000
Pr 0.605 0.875 0.251
Pr 0.774 0.125 0.500
Pr 0.605 0.875 0.749
Nd 0.605 0.375 0.750
Nd 0.605 0.375 0.250
Nd 0.773 0.126 0.000
Nd 0.273 0.874 0.500
Nd 0.105 0.625 0.250
Nd 0.105 0.625 0.750
La 0.274 0.375 0.500
La 0.774 0.625 0.000
! - Spin magnetization: 0.0 μB/cell



Least stable: model ii



Model i:
! La6PrNd3 PBE relaxed; values from VASP
&SYSTEM
  ibrav = 0, nat = 10, ntyp = 3
/
ATOMIC_SPECIES
La 138.91 La.upf
Nd 144.24 Nd.upf
Pr 140.91 Pr.upf
CELL_PARAMETERS angstrom
-1.337 -1.171 10.033
-8.542 -4.286 3.535
-1.519 -5.516 4.328
ATOMIC_POSITIONS crystal
La 0.230 0.895 0.291
La 0.084 0.395 0.791
La 0.583 0.230 0.291
La 0.895 0.583 0.291
La 0.395 0.730 0.791
La 0.730 0.084 0.791
Nd 0.149 0.149 0.554
Nd 0.393 0.393 0.821
Nd 0.647 0.647 0.058
Pr 0.893 0.893 0.321
! - Spin magnetization: 0.0 μB/cell



Model ii:
! La6PrNd3 PBE relaxed; values from VASP
&SYSTEM
  ibrav = 0, nat = 20, ntyp = 3
/
ATOMIC_SPECIES
La 138.91 La.upf
Pr 140.91 Pr.upf
Nd 144.24 Nd.upf
CELL_PARAMETERS angstrom
-5.626 -3.443 -0.117
2.164 -3.891 10.435
-5.831 9.584 -1.685
ATOMIC_POSITIONS crystal
La 0.158 0.716 0.284
La 0.874 0.481 0.066
La 0.874 0.934 0.519
La 0.854 0.031 0.969
La 0.056 0.712 0.633
La 0.658 0.284 0.716
La 0.056 0.367 0.288
La 0.556 0.633 0.712
La 0.374 0.066 0.481
La 0.374 0.519 0.934
La 0.354 0.969 0.031
La 0.556 0.288 0.367
Pr 0.593 0.817 0.183
Pr 0.093 0.183 0.817
Nd 0.590 0.616 0.384
Nd 0.090 0.384 0.616
Nd 0.464 0.942 0.704
Nd 0.964 0.058 0.296
Nd 0.464 0.296 0.058
Nd 0.964 0.704 0.942
! - Spin magnetization: 0.0 μB/cell



Least stable: model i



Model i:
! La2Pr6Nd PBE relaxed; values from VASP
&SYSTEM
  ibrav = 0, nat = 9, ntyp = 3
/
ATOMIC_SPECIES
Pr 140.91 Pr.upf
La 138.91 La.upf
Nd 144.24 Nd.upf
CELL_PARAMETERS angstrom
-5.855 4.687 7.334
-5.268 8.548 -3.034
2.724 -10.067 1.126
ATOMIC_POSITIONS crystal
Pr 0.981 0.166 0.815
Pr 0.648 0.834 0.815
Pr 0.312 0.500 0.812
Pr 0.019 0.834 0.185
Pr 0.688 0.500 0.188
Pr 0.352 0.166 0.185
La 0.333 0.333 0.000
La 0.667 0.667 0.000
Nd 0.000 0.000 0.000
! - Spin magnetization: 0.0 μB/cell



Model ii:
! La2Pr6Nd PBE relaxed; values from VASP
&SYSTEM
  ibrav = 0, nat = 18, ntyp = 3
/
ATOMIC_SPECIES
Pr 140.91 Pr.upf
La 138.91 La.upf
Nd 144.24 Nd.upf
CELL_PARAMETERS angstrom
8.348 0.000 0.000
0.000 8.348 0.000
0.000 0.000 10.682
ATOMIC_POSITIONS crystal
Pr 0.236 0.764 0.169
Pr 0.262 0.262 0.000
Pr 0.264 0.264 0.669
Pr 0.738 0.738 0.000
Pr 0.264 0.264 0.331
Pr 0.736 0.736 0.331
Pr 0.736 0.736 0.669
Pr 0.764 0.236 0.169
Pr 0.764 0.236 0.831
Pr 0.238 0.762 0.500
Pr 0.236 0.764 0.831
Pr 0.762 0.238 0.500
La 0.500 0.500 0.849
La 0.000 0.000 0.349
La 0.000 0.000 0.651
La 0.500 0.500 0.151
Nd 0.500 0.500 0.500
Nd 0.000 0.000 0.000
! - Spin magnetization: 0.0 μB/cell



Least stable: model ii



Model i:
! LaPr2Nd PBE relaxed; values from VASP
&SYSTEM
  ibrav = 0, nat = 8, ntyp = 3
/
ATOMIC_SPECIES
La 138.91 La.upf
Pr 140.91 Pr.upf
Nd 144.24 Nd.upf
CELL_PARAMETERS angstrom
-0.493 -0.283 5.245
-3.609 -6.443 -0.686
6.425 -3.643 0.407
ATOMIC_POSITIONS crystal
La 0.000 0.250 0.000
La 0.000 0.750 0.000
Pr 0.500 0.000 0.748
Pr 0.500 0.500 0.252
Pr 0.500 0.000 0.252
Pr 0.500 0.500 0.748
Nd 0.000 0.250 0.500
Nd 0.000 0.750 0.500
! - Spin magnetization: 0.0 μB/cell



Model ii:
! LaPr2Nd PBE relaxed; values from VASP
&SYSTEM
  ibrav = 0, nat = 4, ntyp = 3
/
ATOMIC_SPECIES
Nd 144.24 Nd.upf
Pr 140.91 Pr.upf
La 138.91 La.upf
CELL_PARAMETERS angstrom
-3.389 -1.056 0.635
-1.638 -2.269 -2.274
2.739 -11.161 6.302
ATOMIC_POSITIONS crystal
Nd 0.500 0.500 0.500
Pr 0.089 0.089 0.732
Pr 0.911 0.911 0.268
La 0.000 0.000 0.000
! - Spin magnetization: 0.0 μB/cell



Model iii:
! LaPr2Nd PBE relaxed; values from VASP
&SYSTEM
  ibrav = 0, nat = 16, ntyp = 3
/
ATOMIC_SPECIES
Pr 140.91 Pr.upf
Nd 144.24 Nd.upf
La 138.91 La.upf
CELL_PARAMETERS angstrom
-3.435 -0.462 -5.336
6.223 -2.029 -3.830
-5.368 -10.539 4.368
ATOMIC_POSITIONS crystal
Pr 0.166 0.442 0.380
Pr 0.665 0.689 0.378
Pr 0.335 0.311 0.622
Pr 0.166 0.558 0.120
Pr 0.335 0.689 0.878
Pr 0.834 0.442 0.880
Pr 0.834 0.558 0.620
Pr 0.665 0.311 0.122
Nd 0.334 0.809 0.622
Nd 0.666 0.809 0.122
Nd 0.666 0.191 0.378
Nd 0.334 0.191 0.878
La 0.166 0.939 0.379
La 0.166 0.061 0.121
La 0.834 0.939 0.879
La 0.834 0.061 0.621
! - Spin magnetization: 0.0 μB/cell



Least stable: model ii



Model i:
! LaPr2Nd PBE relaxed; values from VASP
&SYSTEM
  ibrav = 0, nat = 4, ntyp = 3
/
ATOMIC_SPECIES
Pr 140.91 Pr.upf
Nd 144.24 Nd.upf
La 138.91 La.upf
CELL_PARAMETERS angstrom
3.722 -0.001 0.001
1.860 3.224 0.001
1.865 1.077 12.134
ATOMIC_POSITIONS crystal
Pr 0.082 0.082 0.754
Pr 0.251 0.251 0.246
Nd 0.667 0.667 0.999
La 0.500 0.500 0.500
! - Spin magnetization: 0.0 μB/cell



Model ii:
! LaPr2Nd PBE relaxed; values from VASP
&SYSTEM
  ibrav = 0, nat = 4, ntyp = 3
/
ATOMIC_SPECIES
Nd 144.24 Nd.upf
La 138.91 La.upf
Pr 140.91 Pr.upf
CELL_PARAMETERS angstrom
5.257 0.000 0.000
0.000 5.241 0.000
0.000 0.000 5.241
ATOMIC_POSITIONS crystal
Nd 0.500 0.500 0.500
La 0.500 0.000 0.000
Pr 0.000 0.000 0.500
Pr 0.000 0.500 0.000
! - Spin magnetization: 0.0 μB/cell



Model iii:
! LaPr2Nd PBE relaxed; values from VASP
&SYSTEM
  ibrav = 0, nat = 4, ntyp = 3
/
ATOMIC_SPECIES
Pr 140.91 Pr.upf
Nd 144.24 Nd.upf
La 138.91 La.upf
CELL_PARAMETERS angstrom
5.906 0.000 0.000
2.953 5.114 0.000
2.953 1.705 4.822
ATOMIC_POSITIONS crystal
Pr 0.750 0.750 0.750
Pr 0.250 0.250 0.250
Nd 0.000 0.000 0.000
La 0.500 0.500 0.500
! - Spin magnetization: 1.0 μB/cell



Least stable: model iii